1.
Computed, not measured: KUF6 after structural relaxation at the PBE-GGA level of DFT.

abc: 6.382 6.382 6.382
angles: 60.00 60.00 60.00
Sites, in units of the cell vectors:
K  0.000  0.000  0.000
U  0.500  0.500  0.500
F  0.271  0.271  0.729
F  0.271  0.729  0.271
F  0.271  0.729  0.729
F  0.729  0.271  0.271
F  0.729  0.271  0.729
F  0.729  0.729  0.271

Summary:
raw total energy = -51.07 eV per cell

2.
Computed, not measured: Ni9Hg2 after structural relaxation at the PBE-GGA level of DFT.

abc: 2.661 2.661 32.350
angles: 90.00 90.00 120.00
Sites, in units of the cell vectors:
Ni  0.000  0.000  0.000
Ni  0.000  0.000  0.177
Ni  0.000  0.000  0.823
Ni  0.333  0.667  0.118
Ni  0.333  0.667  0.764
Ni  0.333  0.667  0.941
Ni  0.667  0.333  0.059
Ni  0.667  0.333  0.236
Ni  0.667  0.333  0.882
Hg  0.333  0.667  0.312
Hg  0.667  0.333  0.688

Summary:
raw total energy = -47.59 eV per cell